Material: YTaTe2
Method: DFT, PBE
State: relaxed

Output
The value obtained for the formation energy from raw total energies is -0.216 eV/atom. The calculation puts the energy above the lowest structure with this stoichiometry at 327 meV/atom.

Cell lengths 4.692, 3.727, 6.034 Å; angles 90.00, 106.32, 90.00 degrees
Space group P2/m (No. 10)
Symmetry-distinct sites (fractional):
Y (0.000, 0.000, 0.000) (multiplicity 1)
Ta (0.500, 0.500, 0.500) (multiplicity 1)
Te (0.000, 0.000, 0.500) (multiplicity 1)
Te (0.500, 0.500, 0.000) (multiplicity 1)


Material: YTaTe2
Method: DFT, PBE
State: relaxed

Output
The value obtained for the formation energy from raw total energies is -0.454 eV/atom. The calculation puts the energy above the lowest structure with this stoichiometry at 89 meV/atom.

Cell lengths 7.159, 7.159, 7.159 Å; angles 90.00, 90.00, 90.00 degrees
Space group Fm-3m (No. 225)
Symmetry-distinct sites (fractional):
Y (0.000, 0.000, 0.000) (multiplicity 4)
Ta (0.000, 0.000, 0.500) (multiplicity 4)
Te (0.250, 0.250, 0.250) (multiplicity 8)